# 1
DFT (PBE-GGA) results for a geometry-optimized PrSnB4 structure.

Unit cell a=5.391 b=5.391 c=5.391 alpha=144.80 beta=119.94 gamma=71.57
Positions (direct):
B 0.415 0.742 0.673
Pr 0.000 0.000 0.000
B 0.931 0.258 0.673
Sn 0.500 0.500 0.000
B 0.585 0.258 0.327
B 0.069 0.742 0.327

As for the total energy: -5.87 eV per atom.

---

# 2
DFT (PBE-GGA) results for a geometry-optimized LiAcZn structure.

Unit cell a=5.138 b=5.138 c=5.138 alpha=60.00 beta=60.00 gamma=60.00
Positions (direct):
Li 0.250 0.250 0.250
Ac 0.000 0.000 0.000
Zn 0.750 0.750 0.750

As for the total energy: -2.01 eV per atom.

---

# 3
DFT (PBE-GGA) results for a geometry-optimized HfMgNb structure.

Unit cell a=4.567 b=4.567 c=4.567 alpha=60.00 beta=60.00 gamma=60.00
Positions (direct):
Mg 0.000 0.000 0.000
Hf 0.250 0.250 0.250
Nb 0.750 0.750 0.750

As for the total energy: -6.20 eV per atom.

---

# 4
DFT (PBE-GGA) results for a geometry-optimized ReF4 structure.

Unit cell a=4.272 b=4.272 c=3.236 alpha=90.00 beta=90.00 gamma=102.91
Positions (direct):
F 0.712 0.288 0.000
F 0.773 0.773 0.500
F 0.227 0.227 0.500
Re 0.000 0.000 0.000
F 0.288 0.712 0.000

As for the total energy: -5.70 eV per atom.

---

# 5
DFT (PBE-GGA) results for a geometry-optimized PaInTe structure.

Unit cell a=5.156 b=5.156 c=5.156 alpha=60.00 beta=60.00 gamma=60.00
Positions (direct):
Pa 0.000 0.000 0.000
Te 0.750 0.750 0.750
In 0.250 0.250 0.250

As for the total energy: -5.07 eV per atom.

---

# 6
DFT (PBE-GGA) results for a geometry-optimized Tl2Cd2Ge3 structure.

Unit cell a=8.498 b=8.498 c=8.498 alpha=34.38 beta=34.38 gamma=34.38
Positions (direct):
Ge 0.882 0.882 0.882
Tl 0.236 0.236 0.236
Ge 0.630 0.630 0.630
Ge 0.370 0.370 0.370
Cd 0.005 0.005 0.005
Cd 0.495 0.495 0.495
Tl 0.759 0.759 0.759

As for the total energy: -2.66 eV per atom.